# 1
Computed, not measured: a relaxed Cu2AgTe3 crystal at the PBE level of DFT.

Cell lengths 10.338, 10.338, 7.021 Å; angles 97.49, 97.49, 23.18 degrees
Atoms (fractional coordinates):
Cu: 0.049 0.049 0.153
Cu: 0.287 0.287 0.592
Cu: 0.713 0.713 0.408
Cu: 0.951 0.951 0.847
Ag: 0.355 0.355 0.970
Ag: 0.645 0.645 0.030
Te: 0.076 0.076 0.803
Te: 0.254 0.254 0.226
Te: 0.417 0.417 0.625
Te: 0.583 0.583 0.375
Te: 0.746 0.746 0.774
Te: 0.924 0.924 0.197

Total magnetic moment (μB per formula unit): 0.00
Uncorrected formation energy (eV per atom): 0.0095
Volume (Å³ per atom): 24.39

***

# 2
Computed, not measured: a relaxed TlGa2Cu2 crystal at the PBE level of DFT.

Cell lengths 4.245, 4.245, 10.477 Å; angles 90.00, 90.00, 90.00 degrees
Atoms (fractional coordinates):
Tl: 0.000 0.000 0.000
Tl: 0.500 0.500 0.500
Ga: 0.000 0.000 0.375
Ga: 0.000 0.000 0.625
Ga: 0.500 0.500 0.125
Ga: 0.500 0.500 0.875
Cu: 0.000 0.500 0.250
Cu: 0.000 0.500 0.750
Cu: 0.500 0.000 0.250
Cu: 0.500 0.000 0.750

Energy of formation (meV per atom): 115
Total magnetic moment (μB per formula unit): 0.00
Volume (Å³ per atom): 18.88
Excess energy over the best structure of this formula in the dataset (meV per atom): 30

***

# 3
Computed, not measured: a relaxed YAl2Os crystal at the PBE level of DFT.

Cell lengths 3.275, 3.275, 6.890 Å; angles 90.00, 90.00, 90.00 degrees
Atoms (fractional coordinates):
Y: 0.000 0.000 0.000
Al: 0.000 0.000 0.555
Al: 0.500 0.500 0.328
Os: 0.500 0.500 0.718

Energy of formation (meV per atom): -324
Total magnetic moment (μB per formula unit): 0.00
Volume (Å³ per atom): 18.48

***

# 4
Computed, not measured: a relaxed Cd7InAg4 crystal at the PBE level of DFT.

Cell lengths 3.143, 3.143, 29.214 Å; angles 90.00, 90.00, 120.00 degrees
Atoms (fractional coordinates):
Cd: 0.000 0.000 0.000
Cd: 0.000 0.000 0.249
Cd: 0.000 0.000 0.751
Cd: 0.333 0.667 0.161
Cd: 0.333 0.667 0.410
Cd: 0.667 0.333 0.590
Cd: 0.667 0.333 0.839
In: 0.000 0.000 0.500
Ag: 0.333 0.667 0.670
Ag: 0.333 0.667 0.919
Ag: 0.667 0.333 0.081
Ag: 0.667 0.333 0.330

Energy of formation (meV per atom): 6
Total magnetic moment (μB per formula unit): 0.00
Volume (Å³ per atom): 20.82
Excess energy over the best structure of this formula in the dataset (meV per atom): 0

***

# 5
Computed, not measured: a relaxed ZrAlAs2 crystal at the PBE level of DFT.

Cell lengths 3.922, 4.891, 8.547 Å; angles 90.00, 90.00, 90.00 degrees
Atoms (fractional coordinates):
Zr: 0.000 0.000 0.000
Zr: 0.500 0.500 0.000
Al: 0.000 0.500 0.756
Al: 0.500 0.000 0.756
As: 0.000 0.000 0.564
As: 0.000 0.500 0.226
As: 0.500 0.000 0.226
As: 0.500 0.500 0.564

Energy of formation (meV per atom): -200
Total magnetic moment (μB per formula unit): 0.00
Volume (Å³ per atom): 20.49

***

# 6
Computed, not measured: a relaxed YAl3 crystal at the PBE level of DFT.

Cell lengths 6.868, 6.868, 6.868 Å; angles 90.00, 90.00, 90.00 degrees
Atoms (fractional coordinates):
Y: 0.000 0.000 0.000
Y: 0.000 0.500 0.500
Y: 0.500 0.000 0.500
Y: 0.500 0.500 0.000
Al: 0.000 0.000 0.500
Al: 0.000 0.500 0.000
Al: 0.250 0.250 0.250
Al: 0.250 0.250 0.750
Al: 0.250 0.750 0.250
Al: 0.250 0.750 0.750
Al: 0.500 0.000 0.000
Al: 0.500 0.500 0.500
Al: 0.750 0.250 0.250
Al: 0.750 0.250 0.750
Al: 0.750 0.750 0.250
Al: 0.750 0.750 0.750

Energy of formation (meV per atom): -59
Total magnetic moment (μB per formula unit): 0.00
Volume (Å³ per atom): 20.25

***

# 7
Computed, not measured: a relaxed Dy2FeGe3Ir4 crystal at the PBE level of DFT.

Cell lengths 4.145, 4.145, 10.345 Å; angles 90.00, 90.00, 90.00 degrees
Atoms (fractional coordinates):
Dy: 0.000 0.500 0.247
Dy: 0.500 0.000 0.753
Fe: 0.500 0.500 0.000
Ge: 0.000 0.000 0.000
Ge: 0.000 0.500 0.633
Ge: 0.500 0.000 0.367
Ir: 0.000 0.000 0.500
Ir: 0.000 0.500 0.867
Ir: 0.500 0.000 0.133
Ir: 0.500 0.500 0.500

Energy of formation (meV per atom): -680
Total magnetic moment (μB per formula unit): 2.39
Volume (Å³ per atom): 17.78

***

# 8
Computed, not measured: a relaxed Sn3POs crystal at the PBE level of DFT.

Cell lengths 5.012, 5.012, 5.012 Å; angles 90.00, 90.00, 90.00 degrees
Atoms (fractional coordinates):
Sn: 0.000 0.000 0.500
Sn: 0.000 0.500 0.000
Sn: 0.500 0.000 0.000
P: 0.000 0.000 0.000
Os: 0.500 0.500 0.500

Energy of formation (meV per atom): 1324
Total magnetic moment (μB per formula unit): 1.50
Volume (Å³ per atom): 25.17
Excess energy over the best structure of this formula in the dataset (meV per atom): 840

***

# 9
Computed, not measured: a relaxed Cd2Sb2Pd crystal at the PBE level of DFT.

Cell lengths 7.320, 7.320, 4.488 Å; angles 90.00, 90.00, 90.00 degrees
Atoms (fractional coordinates):
Cd: 0.153 0.347 0.000
Cd: 0.347 0.847 0.000
Cd: 0.653 0.153 0.000
Cd: 0.847 0.653 0.000
Sb: 0.152 0.652 0.500
Sb: 0.348 0.152 0.500
Sb: 0.652 0.848 0.500
Sb: 0.848 0.348 0.500
Pd: 0.000 0.000 0.000
Pd: 0.500 0.500 0.000

Total magnetic moment (μB per formula unit): 0.00
Uncorrected formation energy (eV per atom): 0.1377
Volume (Å³ per atom): 24.05
Excess energy over the best structure of this formula in the dataset (meV per atom): 152

***

# 10
Computed, not measured: a relaxed Ta2CoTe crystal at the PBE level of DFT.

Cell lengths 5.682, 5.682, 12.192 Å; angles 90.00, 90.00, 90.00 degrees
Atoms (fractional coordinates):
Ta: 0.173 0.250 0.125
Ta: 0.250 0.673 0.375
Ta: 0.250 0.827 0.875
Ta: 0.327 0.250 0.625
Ta: 0.673 0.750 0.625
Ta: 0.750 0.173 0.875
Ta: 0.750 0.327 0.375
Ta: 0.827 0.750 0.125
Co: 0.000 0.000 0.000
Co: 0.000 0.500 0.250
Co: 0.500 0.000 0.750
Co: 0.500 0.500 0.500
Te: 0.000 0.000 0.500
Te: 0.000 0.500 0.750
Te: 0.500 0.000 0.250
Te: 0.500 0.500 0.000

Total magnetic moment (μB per formula unit): 0.00
Uncorrected formation energy (eV per atom): 0.8076
Volume (Å³ per atom): 24.60

***

volume of number 10 (Ta2CoTe)? 24.60 Å³ per atom